PrCdCuPd: relaxed, PBE.

```
PrCdCuPd
1.0
0.0000 3.4681 3.4681
3.4681 0.0000 3.4681
3.4681 3.4681 0.0000
Pr Cd Cu Pd
1 1 1 1
Cartesian
0.0000 0.0000 0.0000 Pr
3.4681 3.4681 3.4681 Cd
5.2021 5.2021 5.2021 Cu
1.7340 1.7340 1.7340 Pd
```

Summary:
- Total moment: 0.00 μB/f.u.
- Density of states at the Fermi level: 0.6316 states/eV per atom
- ΔE_f: -1.51 eV per formula unit